Entry 1:
A geometry-optimized IrRuW structure, computed with PBE.

- space group = P6_3/mmc (194)
- total magnetization (μB/atom) = 0.000
- energy relative to the lowest polymorph listed for this composition (kJ/mol of formula units) = 28
- energy relative to the elements (eV per atom) = -0.068

Lattice parameters (Å, degrees): 4.392 4.392 5.442 90.00 90.00 120.00
Positions (direct):
Ir1 0.333 0.667 0.250
Ir2 0.667 0.333 0.750
Ru1 0.000 0.000 0.000
Ru2 0.000 0.000 0.500
W1 0.333 0.667 0.750
W2 0.667 0.333 0.250

=====

Entry 2:
A geometry-optimized Li3CaBi3 structure, computed with PBE.

- space group = Pm-3n (223)
- total magnetization (μB/atom) = 0.000
- energy relative to the elements (eV per atom) = -0.032

Lattice parameters (Å, degrees): 7.467 7.467 7.467 90.00 90.00 90.00
Positions (direct):
Li1 0.000 0.250 0.500
Li2 0.000 0.750 0.500
Li3 0.250 0.500 0.000
Li4 0.500 0.000 0.250
Li5 0.500 0.000 0.750
Li6 0.750 0.500 0.000
Ca1 0.000 0.000 0.000
Ca2 0.500 0.500 0.500
Bi1 0.000 0.500 0.250
Bi2 0.000 0.500 0.750
Bi3 0.250 0.000 0.500
Bi4 0.500 0.250 0.000
Bi5 0.500 0.750 0.000
Bi6 0.750 0.000 0.500

=====

| no. | DOS(E_F) (states/eV/cell) |
| --- | --- |
| 1 | 3.973 |
| 2 | 11.240 |